Material: NaHBr
Method: DFT, GGA-PBE
State: optimized geometry

Computed properties:
Space group ... P1, No. 1
Final energy ... -3.13 eV/atom
Polymorph energy (0 for the lowest one) ... 0.000 eV per atom
Magnetic moment ... 0.0000 μB/atom

Lattice parameters (Å, degrees): 5.295 5.087 5.979 89.76 89.36 57.69
Atoms (fractional coordinates):
H  0.394  0.446  0.195
Na  0.752  0.722  0.403
Na  0.088  0.033  0.907
H  0.445  0.310  0.117
Br  0.748  0.722  0.899
Br  0.092  0.034  0.411


Material: Na2H3Br
Method: DFT, GGA-PBE
State: optimized geometry

Computed properties:
Space group ... C2/c, No. 15
Final energy ... -2.88 eV/atom
Magnetic moment ... 0.0000 μB/atom

Lattice parameters (Å, degrees): 5.957 5.957 6.670 113.70 113.70 78.57
Atoms (fractional coordinates):
Na  0.642  0.872  0.229
H  0.512  0.750  0.822
H  0.250  0.488  0.678
Na  0.872  0.642  0.729
Br  0.840  0.160  0.750
H  0.488  0.250  0.178
Na  0.128  0.358  0.271
Na  0.358  0.128  0.771
H  0.381  0.619  0.750
Br  0.160  0.840  0.250
H  0.619  0.381  0.250
H  0.750  0.512  0.322


Material: Na2HBr
Method: DFT, GGA-PBE
State: optimized geometry

Computed properties:
Space group ... P3m1, No. 156
Final energy ... -2.69 eV/atom
Polymorph energy (0 for the lowest one) ... 0.082 eV per atom
Magnetic moment ... 0.0000 μB/atom

Lattice parameters (Å, degrees): 4.261 4.261 6.920 90.00 90.00 120.00
Atoms (fractional coordinates):
Na  0.667  0.333  0.916
Br  0.667  0.333  0.505
H  0.000  0.000  0.005
Na  0.000  0.000  0.323


Material: NaH4Br
Method: DFT, GGA-PBE
State: optimized geometry

Computed properties:
Space group ... C2/m, No. 12
Final energy ... -3.23 eV/atom
Magnetic moment ... 0.0000 μB/atom

Lattice parameters (Å, degrees): 3.972 6.983 12.440 155.83 90.01 106.52
Atoms (fractional coordinates):
Na  0.000  0.000  0.000
H  0.590  0.181  0.882
H  0.561  0.122  0.307
H  0.410  0.819  0.118
Br  0.000  0.000  0.500
H  0.439  0.878  0.693


Material: Na2HBrO
Method: DFT, GGA-PBE
State: optimized geometry

Computed properties:
Space group ... P2_1/m, No. 11
Final energy ... -3.95 eV/atom
Magnetic moment ... 0.0000 μB/atom

Lattice parameters (Å, degrees): 3.757 6.362 7.645 107.06 90.00 90.00
Atoms (fractional coordinates):
Na  0.750  0.815  0.036
Na  0.250  0.194  0.373
Br  0.250  0.694  0.303
H  0.250  0.654  0.792
Br  0.750  0.306  0.697
O  0.250  0.814  0.830
H  0.750  0.346  0.208
Na  0.750  0.806  0.627
Na  0.250  0.185  0.964
O  0.750  0.186  0.170


Material: NaH2BrO
Method: DFT, GGA-PBE
State: optimized geometry

Computed properties:
Space group ... Cmcm, No. 63
Final energy ... -3.89 eV/atom
Magnetic moment ... 0.0000 μB/atom

Lattice parameters (Å, degrees): 3.832 5.684 6.985 90.00 90.00 109.70
Atoms (fractional coordinates):
O  0.000  0.000  0.500
Br  0.699  0.399  0.750
H  0.080  0.159  0.567
Na  0.587  0.173  0.250
H  0.920  0.841  0.433
Br  0.301  0.601  0.250
O  0.000  0.000  0.000
H  0.080  0.159  0.933
H  0.920  0.841  0.067
Na  0.413  0.827  0.750